Record 1
ZnCu2Se after structural relaxation, computed with PBE.

a = 2.7636 Å, b = 2.7636 Å, c = 7.9284 Å
α = 90.00°, β = 90.00°, γ = 90.00°
Closest atoms and distances in Å follow each position.
Space group P4/mmm (No. 123)
Asymmetric unit:
Zn1 0.0000 0.0000 0.0000 (multiplicity 1)  8 Cu 2.62, 4 Zn 2.76
Cu1 0.5000 0.5000 0.2192 (multiplicity 2)  4 Zn 2.62, 4 Cu 2.76
Se1 0.0000 0.0000 0.5000 (multiplicity 1)  4 Se 2.76, 8 Cu 2.96

Properties
Mass density = 7.4 g cm⁻³
VASP energy = -12.2 eV/cell
V = 15.14 A^3/atom
Energy relative to the elements, uncorrected = 0.18 eV/atom

Record 2
Pr3SmPb2S after structural relaxation, computed with PBE.

a = 5.2258 Å, b = 5.3123 Å, c = 16.8224 Å
α = 90.00°, β = 90.00°, γ = 90.00°
Closest atoms and distances in Å follow each position.
Space group Immm (No. 71)
Asymmetric unit:
Pr1 0.0000 0.0000 0.0000 (multiplicity 2)  2 S 2.66
Pr2 0.0000 0.5000 0.1692 (multiplicity 4)  1 S 2.85
Sm1 0.0000 0.0000 0.5000 (multiplicity 2)  2 S 2.61
Pb1 0.0000 0.5000 0.3639 (multiplicity 4)  3 Pr 3.28-3.47, 2 Sm 3.51
S1 0.0000 0.5000 0.0000 (multiplicity 2)  2 Sm 2.61, 4 Pr 2.66-2.85

Properties
Mass density = 7.3 g cm⁻³
VASP energy = -72.4 eV/cell
V = 33.36 A^3/atom
Energy relative to the elements, uncorrected = -0.80 eV/atom

Record 3
Tb5YAl3 after structural relaxation, computed with PBE.

a = 9.1040 Å, b = 9.1040 Å, c = 6.6749 Å
α = 90.00°, β = 90.00°, γ = 120.00°
Closest atoms and distances in Å follow each position.
Space group P6_3/mcm (No. 193)
Asymmetric unit:
Tb1 0.0000 0.3357 0.2500 (multiplicity 6)  5 Al 3.03-3.34
Tb2 0.3333 0.6667 0.0000 (multiplicity 4)  8 Tb 3.34-3.45, 6 Al 3.48
Y1 0.0000 0.0000 0.0000 (multiplicity 2)  2 Y 3.34, 6 Al 3.44, 6 Tb 3.48
Al1 0.0000 0.3302 0.7500 (multiplicity 6)  5 Tb 3.03-3.34

Properties
Mass density = 6.7 g cm⁻³
VASP energy = -86.5 eV/cell
E_form = -2.4 eV/f.u.
V = 26.62 A^3/atom

Record 4
Sr2SI after structural relaxation, computed with PBE.

a = 7.2753 Å, b = 7.2753 Å, c = 13.7370 Å
α = 90.00°, β = 90.00°, γ = 90.00°
Closest atoms and distances in Å follow each position.
Space group I-42d (No. 122)
Asymmetric unit:
Sr1 0.1897 0.2500 0.1250 (multiplicity 8)  2 S 2.86
S1 0.0000 0.0000 0.0000 (multiplicity 4)  4 Sr 2.86
I1 0.0000 0.0000 0.5000 (multiplicity 4)  4 Sr 3.37

Properties
Mass density = 3.1 g cm⁻³
VASP energy = -58.9 eV/cell
V = 45.44 A^3/atom
Energy relative to the elements, uncorrected = -1.42 eV/atom

Record 5
BaReAs2 after structural relaxation, computed with PBE.

a = 3.2623 Å, b = 3.9188 Å, c = 7.8136 Å
α = 90.00°, β = 90.00°, γ = 90.00°
Closest atoms and distances in Å follow each position.
Space group Pmm2 (No. 25)
Asymmetric unit:
Ba1 0.0000 0.0000 0.0000 (multiplicity 1)  5 As 3.23-3.27, 2 Ba 3.26
Re1 0.5000 0.5000 0.4315 (multiplicity 1)  5 As 2.39-2.55
As1 0.0000 0.0000 0.4131 (multiplicity 1)  4 Re 2.55
As2 0.5000 0.5000 0.7377 (multiplicity 1)  1 Re 2.39

Properties
Mass density = 7.9 g cm⁻³
VASP energy = -22.9 eV/cell
E_form = 0.8 eV/f.u.
V = 24.97 A^3/atom

Record 6
Li2YHf after structural relaxation, computed with PBE.

a = 7.0234 Å, b = 7.0234 Å, c = 7.0234 Å
α = 90.00°, β = 90.00°, γ = 90.00°
Closest atoms and distances in Å follow each position.
Space group Fm-3m (No. 225)
Asymmetric unit:
Li1 0.2500 0.2500 0.2500 (multiplicity 8)  4 Hf 3.04, 4 Y 3.04
Y1 0.0000 0.0000 0.0000 (multiplicity 4)  8 Li 3.04
Hf1 0.0000 0.0000 0.5000 (multiplicity 4)  8 Li 3.04

Properties
Mass density = 5.4 g cm⁻³
VASP energy = -75.1 eV/cell
E_form = 1.5 eV/f.u.
V = 21.65 A^3/atom

Record 7
BeAlH4 after structural relaxation, computed with PBE.

a = 6.2749 Å, b = 4.8287 Å, c = 6.3421 Å
α = 90.00°, β = 105.98°, γ = 90.00°
Closest atoms and distances in Å follow each position.
Space group C2/c (No. 15)
Asymmetric unit:
Be1 0.0000 0.1522 0.2500 (multiplicity 4)  4 H 1.46
Al1 0.2500 0.2500 0.0000 (multiplicity 4)  4 H 1.78-1.86
H1 0.0140 0.3014 0.4539 (multiplicity 8)  1 Be 1.46
H2 0.2067 0.0032 0.2705 (multiplicity 8)  1 Be 1.46

Properties
Mass density = 1.4 g cm⁻³
VASP energy = -78.6 eV/cell
V = 7.70 A^3/atom

Record 8
LiTiCuS3 after structural relaxation, computed with PBE.

a = 7.1230 Å, b = 3.5248 Å, c = 8.5256 Å
α = 90.00°, β = 104.35°, γ = 90.00°
Closest atoms and distances in Å follow each position.
Space group P2_1/m (No. 11)
Asymmetric unit:
Li1 0.1752 0.2500 0.1760 (multiplicity 2)  5 S 2.58-2.86
Ti1 0.1891 0.7500 0.6654 (multiplicity 2)  6 S 2.40-2.55
Cu1 0.4165 0.2500 0.8977 (multiplicity 2)  4 S 2.22-2.48
S1 0.0689 0.7500 0.3578 (multiplicity 2)  3 Ti 2.52-2.55, 2 Li 2.58
S2 0.2349 0.7500 0.9603 (multiplicity 2)  3 Cu 2.33-2.48, 1 Ti 2.45
S3 0.4057 0.2500 0.6349 (multiplicity 2)  1 Cu 2.22, 2 Ti 2.40

Properties
Mass density = 3.4 g cm⁻³
VASP energy = -65.0 eV/cell
V = 17.28 A^3/atom
Energy relative to the elements, uncorrected = -1.03 eV/atom

Record 9
La2Co2Si after structural relaxation, computed with PBE.

a = 3.8663 Å, b = 12.8759 Å, c = 4.1235 Å
α = 90.00°, β = 90.00°, γ = 90.00°
Closest atoms and distances in Å follow each position.
Space group Cmmm (No. 65)
Asymmetric unit:
La1 0.0000 0.1258 0.0000 (multiplicity 4)  6 Co 2.97-3.09, 1 La 3.24, 4 Si 3.26
Co1 0.0000 0.3042 0.5000 (multiplicity 4)  2 Co 2.38, 1 Si 2.52
Si1 0.0000 0.5000 0.5000 (multiplicity 2)  2 Co 2.52

Properties
Mass density = 6.9 g cm⁻³
VASP energy = -61.8 eV/cell
V = 20.53 A^3/atom
Energy relative to the elements, uncorrected = -0.28 eV/atom

Record 10
La2GaGe3Au4 after structural relaxation, computed with PBE.

a = 4.4796 Å, b = 4.4796 Å, c = 10.6957 Å
α = 90.00°, β = 90.00°, γ = 90.00°
Closest atoms and distances in Å follow each position.
Space group P-4m2 (No. 115)
Asymmetric unit:
La1 0.0000 0.5000 0.2449 (multiplicity 2)  6 Ge 3.38-3.53, 8 Au 3.44-3.45, 2 Ga 3.53
Ga1 0.0000 0.0000 0.5000 (multiplicity 1)  4 Au 2.64
Ge1 0.0000 0.5000 0.8661 (multiplicity 2)  5 Au 2.53-2.66
Ge2 0.5000 0.5000 0.5000 (multiplicity 1)  4 Au 2.64
Au1 0.0000 0.0000 0.0000 (multiplicity 1)  4 Ge 2.66
Au2 0.0000 0.5000 0.6299 (multiplicity 2)  3 Ge 2.53-2.64, 2 Ga 2.64
Au3 0.5000 0.5000 0.0000 (multiplicity 1)  4 Ge 2.66

Properties
Mass density = 10.5 g cm⁻³
VASP energy = -46.3 eV/cell
E_form = -6.5 eV/f.u.
V = 21.46 A^3/atom

Record 11
CrOsRh2 after structural relaxation, computed with PBE.

a = 3.6640 Å, b = 3.6640 Å, c = 17.6526 Å
α = 90.00°, β = 90.00°, γ = 90.00°
Closest atoms and distances in Å follow each position.
Space group I-42d (No. 122)
Asymmetric unit:
Cr1 0.0000 0.0000 0.0000 (multiplicity 4)  4 Rh 2.55, 4 Os 2.59
Os1 0.0000 0.0000 0.5000 (multiplicity 4)  4 Rh 2.57, 4 Cr 2.59
Rh1 0.2443 0.2500 0.1250 (multiplicity 8)  2 Cr 2.55, 4 Rh 2.56-2.62, 2 Os 2.57

Properties
Mass density = 12.6 g cm⁻³
VASP energy = -133.7 eV/cell
E_form = 2.1 eV/f.u.
V = 14.81 A^3/atom

Record 12
Pr3Y after structural relaxation, computed with PBE.

a = 5.2087 Å, b = 5.2087 Å, c = 10.3958 Å
α = 90.00°, β = 90.00°, γ = 90.00°
Closest atoms and distances in Å follow each position.
Space group I4/mmm (No. 139)
Asymmetric unit:
Pr1 0.0000 0.0000 0.0000 (multiplicity 2)  8 Pr 3.68, 4 Y 3.68
Pr2 0.0000 0.5000 0.2500 (multiplicity 4)  8 Pr 3.68, 4 Y 3.68
Y1 0.0000 0.0000 0.5000 (multiplicity 2)  12 Pr 3.68

Properties
Mass density = 6.0 g cm⁻³
VASP energy = -41.5 eV/cell
E_form = 0.0 eV/f.u.
V = 35.26 A^3/atom

Record 13
Hf3NbSn after structural relaxation, computed with PBE.

a = 5.0134 Å, b = 16.4010 Å, c = 5.2295 Å
α = 90.00°, β = 90.00°, γ = 90.00°
Closest atoms and distances in Å follow each position.
Space group Cmcm (No. 63)
Asymmetric unit:
Hf1 0.0000 0.0502 0.2500 (multiplicity 4)  2 Sn 3.05, 1 Nb 3.08, 7 Hf 3.09-3.34
Hf2 0.0000 0.1536 0.7500 (multiplicity 4)  4 Nb 2.96-3.07, 2 Sn 2.98, 3 Hf 3.05-3.12
Hf3 0.0000 0.3395 0.7500 (multiplicity 4)  4 Nb 2.81-3.10, 3 Hf 3.05-3.09, 2 Sn 3.13
Nb1 0.0000 0.2379 0.2500 (multiplicity 4)  9 Hf 2.81-3.10
Sn1 0.0000 0.4444 0.2500 (multiplicity 4)  6 Hf 2.98-3.13, 2 Sn 3.19

Properties
Mass density = 11.5 g cm⁻³
VASP energy = -177.9 eV/cell
E_form = -0.5 eV/f.u.
V = 21.50 A^3/atom

Record 14
K2TlCuO2 after structural relaxation, computed with PBE.

a = 4.8476 Å, b = 11.9864 Å, c = 4.3933 Å
α = 90.00°, β = 90.00°, γ = 90.00°
Closest atoms and distances in Å follow each position.
Space group Pnnm (No. 58)
Asymmetric unit:
K1 0.1501 0.2410 0.0000 (multiplicity 4)  4 O 2.64-2.86
Tl1 0.0000 0.0000 0.5000 (multiplicity 2)  4 O 3.14, 4 Cu 3.27
Cu1 0.0000 0.5000 0.5000 (multiplicity 2)  2 O 1.81
O1 0.1759 0.3666 0.5000 (multiplicity 4)  1 Cu 1.81

Properties
Mass density = 4.9 g cm⁻³
VASP energy = -47.4 eV/cell
V = 21.27 A^3/atom
Energy relative to the elements, uncorrected = -0.85 eV/atom

Record 15
Pr2Re2B2C after structural relaxation, computed with PBE.

a = 11.0517 Å, b = 3.7424 Å, c = 6.9093 Å
α = 90.00°, β = 124.14°, γ = 90.00°
Closest atoms and distances in Å follow each position.
Space group C2/m (No. 12)
Asymmetric unit:
Pr1 0.0734 0.0000 0.3296 (multiplicity 4)  2 C 2.70, 1 B 2.98
Re1 0.2011 0.5000 0.0875 (multiplicity 4)  1 C 1.95, 2 B 2.15
B1 0.1913 0.5000 0.7570 (multiplicity 4)  3 Re 2.15-2.22
C1 0.0000 0.5000 0.0000 (multiplicity 2)  2 Re 1.95

Properties
Mass density = 9.7 g cm⁻³
VASP energy = -118.3 eV/cell
E_form = -2.1 eV/f.u.
V = 16.89 A^3/atom

Record 16
Ac2AlInPt after structural relaxation, computed with PBE.

a = 7.9069 Å, b = 4.7567 Å, c = 8.1702 Å
α = 90.00°, β = 109.66°, γ = 90.00°
Closest atoms and distances in Å follow each position.
Space group P2_1/m (No. 11)
Asymmetric unit:
Ac1 0.1223 0.2500 0.3379 (multiplicity 2)  3 Pt 3.14-3.34, 2 Al 3.45, 2 In 3.50
Ac2 0.2927 0.2500 0.9497 (multiplicity 2)  3 Pt 3.13-3.18
Al1 0.4314 0.7500 0.3183 (multiplicity 2)  1 Pt 2.56
In1 0.3511 0.7500 0.6475 (multiplicity 2)  3 Al 2.89-2.96
Pt1 0.1197 0.7500 0.0855 (multiplicity 2)  1 Al 2.56

Properties
Mass density = 9.1 g cm⁻³
VASP energy = -48.6 eV/cell
E_form = -3.5 eV/f.u.
V = 28.94 A^3/atom

Record 17
Dy8Te3S3N after structural relaxation, computed with PBE.

a = 13.7507 Å, b = 7.9490 Å, c = 8.3372 Å
α = 90.00°, β = 123.33°, γ = 90.00°
Closest atoms and distances in Å follow each position.
Space group C2/m (No. 12)
Asymmetric unit:
Dy1 0.0112 0.2256 0.3082 (multiplicity 8)  1 N 2.46, 1 S 2.76
Dy2 0.2144 0.0000 0.6919 (multiplicity 4)  1 N 2.46
Dy3 0.2331 0.5000 0.6995 (multiplicity 4)  3 S 2.68
Te1 0.0000 0.0000 0.0000 (multiplicity 2)  6 Dy 3.07-3.11
Te2 0.2500 0.2500 0.0000 (multiplicity 4)  6 Dy 3.07-3.10
S1 0.0000 0.5000 0.5000 (multiplicity 2)  6 Dy 2.68-2.76
S2 0.2500 0.2500 0.5000 (multiplicity 4)  6 Dy 2.68-2.76
N1 0.0000 0.0000 0.5000 (multiplicity 2)  6 Dy 2.46

Properties
Mass density = 7.8 g cm⁻³
VASP energy = -178.2 eV/cell
V = 25.38 A^3/atom
Energy relative to the elements, uncorrected = -1.48 eV/atom

Record 18
Li2AcPbF8 after structural relaxation, computed with PBE.

a = 5.4285 Å, b = 5.4285 Å, c = 11.7012 Å
α = 90.00°, β = 90.00°, γ = 90.00°
Closest atoms and distances in Å follow each position.
Space group I-4 (No. 82)
Asymmetric unit:
Li1 0.0000 0.0000 0.0000 (multiplicity 2)  4 F 1.95
Li2 0.0000 0.5000 0.2500 (multiplicity 2)  4 F 1.94
Ac1 0.0000 0.5000 0.7500 (multiplicity 2)  8 F 2.48-2.55
Pb1 0.0000 0.0000 0.5000 (multiplicity 2)  8 F 2.36-2.44
F1 0.1454 0.7734 0.3325 (multiplicity 8)  1 Li 1.94
F2 0.1665 0.2736 0.9250 (multiplicity 8)  1 Li 1.95

Properties
Mass density = 5.8 g cm⁻³
VASP energy = -126.3 eV/cell
V = 14.37 A^3/atom
Energy relative to the elements, uncorrected = -3.04 eV/atom

Record 19
Ac5AgHg4 after structural relaxation, computed with PBE.

a = 4.0292 Å, b = 4.0292 Å, c = 20.1454 Å
α = 90.00°, β = 90.00°, γ = 90.00°
Closest atoms and distances in Å follow each position.
Space group P4/mmm (No. 123)
Asymmetric unit:
Ac1 0.0000 0.0000 0.0000 (multiplicity 1)  8 Hg 3.50
Ac2 0.0000 0.0000 0.2020 (multiplicity 2)  8 Hg 3.49-3.50
Ac3 0.0000 0.0000 0.4038 (multiplicity 2)  4 Ag 3.45, 4 Hg 3.51
Ag1 0.5000 0.5000 0.5000 (multiplicity 1)  8 Ac 3.45
Hg1 0.5000 0.5000 0.1010 (multiplicity 2)  8 Ac 3.50
Hg2 0.5000 0.5000 0.3019 (multiplicity 2)  8 Ac 3.49-3.51

Properties
Mass density = 10.4 g cm⁻³
VASP energy = -28.9 eV/cell
E_form = -4.3 eV/f.u.
V = 32.70 A^3/atom

Record 20
MnCu3H after structural relaxation, computed with PBE.

a = 3.7772 Å, b = 3.7772 Å, c = 3.7772 Å
α = 90.00°, β = 90.00°, γ = 90.00°
Closest atoms and distances in Å follow each position.
Space group Pm-3m (No. 221)
Asymmetric unit:
Mn1 0.0000 0.0000 0.0000 (multiplicity 1)  12 Cu 2.67
Cu1 0.0000 0.5000 0.5000 (multiplicity 3)  2 H 1.89
H1 0.5000 0.5000 0.5000 (multiplicity 1)  6 Cu 1.89

Properties
Mass density = 7.6 g cm⁻³
VASP energy = -23.7 eV/cell
V = 10.78 A^3/atom